## Pm4Er3Hg4 (GGA-PBE)

Data for a relaxed structure of Pm4Er3Hg4.

The value obtained for the calculated formation energy is -277 meV/atom.

Structure (POSCAR):
```
Pm4Er3Hg4
1.0
-1.803 4.638 9.525
1.803 -4.638 9.525
1.803 4.638 -9.525
Pm Er Hg
4 3 4
Cartesian
1.803 -2.993 6.481
0.000 1.645 3.045
1.803 2.993 6.481
0.000 7.631 3.045
1.803 0.000 0.000
0.000 0.000 7.702
0.000 0.000 11.349
1.803 0.000 5.216
0.000 2.674 0.000
0.000 6.603 0.000
0.000 4.638 4.310
```